A relaxed structure of K3Ce2PtS6. Source: Alexandria via LeMat-Bulk, functional PBE.

As for the raw formation energy: -1315 meV/atom.

The structure belongs to space group C2/m (No. 12); the cell edges are 6.910, 12.147 and 7.708 Å and the angles 90.00°, 106.41° and 90.00°. The inequivalent atoms are K at (0.000, 0.000, 0.000), K at (0.000, 0.339, 0.000), Ce at (0.000, 0.170, 0.500), Pt at (0.000, 0.500, 0.500), S at (0.239, 0.500, 0.319) and S at (0.240, 0.332, 0.710).

---

A relaxed structure of K3Ce3PtS8. Source: Alexandria via LeMat-Bulk, functional PBE.

As for the raw formation energy: -1488 meV/atom.

The structure belongs to space group C2/m (No. 12); the cell edges are 14.512, 7.866 and 8.818 Å and the angles 90.00°, 123.29° and 90.00°. The inequivalent atoms are K at (0.000, 0.000, 0.000), K at (0.250, 0.250, 0.000), Ce at (0.000, 0.500, 0.500), Ce at (0.250, 0.250, 0.500), Pt at (0.000, 0.000, 0.500), S at (0.019, 0.215, 0.328), S at (0.196, 0.500, 0.256) and S at (0.232, 0.500, 0.709).

---

A relaxed structure of K3Ce3PtSe8. Source: Alexandria via LeMat-Bulk, functional PBE.

As for the raw formation energy: -1351 meV/atom.

The structure belongs to space group R-3m (No. 166, hexagonal axes); the cell edges are 8.3764, 8.3764 and 23.5298 Å and the angles 90.00°, 90.00° and 120.00°. The inequivalent atoms are K at (0.0000, 0.5000, 0.0000), Ce at (0.0000, 0.5000, 0.5000), Pt at (0.0000, 0.0000, 0.5000), Se at (0.0000, 0.0000, 0.2371) and Se at (0.0292, 0.5146, 0.2304).

---

A relaxed structure of K2CePuS4. Source: Alexandria via LeMat-Bulk, functional PBE.

As for the raw formation energy: -1687 meV/atom.

The structure belongs to space group P2/m (No. 10); the cell edges are 7.224, 4.170 and 7.724 Å and the angles 90.00°, 108.24° and 90.00°. The inequivalent atoms are K at (0.000, 0.000, 0.000), K at (0.500, 0.500, 0.000), Ce at (0.000, 0.500, 0.500), Pu at (0.500, 0.000, 0.500), S at (0.235, 0.000, 0.705) and S at (0.267, 0.500, 0.299).

---

A relaxed structure of K2CePu2S6. Source: Alexandria via LeMat-Bulk, functional PBE.

As for the raw formation energy: -1660 meV/atom.

The structure belongs to space group C2/m (No. 12); the cell edges are 7.074, 12.296 and 7.819 Å and the angles 90.00°, 107.54° and 90.00°. The inequivalent atoms are K at (0.000, 0.167, 0.000), Ce at (0.000, 0.000, 0.500), Pu at (0.000, 0.334, 0.500), S at (0.230, 0.500, 0.694) and S at (0.231, 0.170, 0.693).

---

A relaxed structure of K4CePu3S8. Source: Alexandria via LeMat-Bulk, functional PBE.

As for the raw formation energy: -1650 meV/atom.

The structure belongs to space group R-3m (No. 166, hexagonal axes); the cell edges are 8.2705, 8.2705 and 22.0171 Å and the angles 90.00°, 90.00° and 120.00°. The inequivalent atoms are K at (0.0000, 0.0000, 0.0000), K at (0.0000, 0.5000, 0.0000), Ce at (0.0000, 0.0000, 0.5000), Pu at (0.0000, 0.5000, 0.5000), S at (0.0000, 0.0000, 0.2326) and S at (0.0015, 0.5007, 0.7660).

---

A relaxed structure of K4CePu3Se8. Source: Alexandria via LeMat-Bulk, functional PBE.

As for the raw formation energy: -1507 meV/atom.

The structure belongs to space group C2/m (No. 12); the cell edges are 15.023, 8.637 and 9.129 Å and the angles 90.00°, 123.21° and 90.00°. The inequivalent atoms are K at (0.000, 0.000, 0.000), K at (0.000, 0.500, 0.000), K at (0.250, 0.250, 0.000), Ce at (0.000, 0.000, 0.500), Pu at (0.000, 0.500, 0.500), Pu at (0.250, 0.250, 0.500), Se at (0.014, 0.249, 0.293), Se at (0.235, 0.000, 0.705) and Se at (0.236, 0.500, 0.704).

---

A relaxed structure of K2Ce2PuSe6. Source: Alexandria via LeMat-Bulk, functional PBE.

As for the raw formation energy: -1608 meV/atom.

The structure belongs to space group C2/m (No. 12); the cell edges are 7.432, 12.857 and 8.146 Å and the angles 90.00°, 107.62° and 90.00°. The inequivalent atoms are K at (0.000, 0.167, 0.000), Ce at (0.000, 0.334, 0.500), Pu at (0.000, 0.000, 0.500), Se at (0.232, 0.167, 0.700) and Se at (0.236, 0.500, 0.700).

---

Number 1: electronic total energy -61.75 eV per formula unit. Number 2: electronic total energy -82.48 eV per formula unit. Number 3: electronic total energy -75.28 eV per formula unit. Number 4: electronic total energy -52.47 eV per formula unit. Number 5: electronic total energy -79.82 eV per formula unit. Number 6: electronic total energy -112.75 eV per formula unit. Number 7: electronic total energy -105.31 eV per formula unit. Number 8: electronic total energy -66.99 eV per formula unit.